Entry 1:
An optimized crystal structure of PrBr2F. Source: the Alexandria database, functional PBE-GGA.

abc: 7.9733 7.9733 7.9733
angles: 30.49 30.49 30.49
Fractional positions:
1 Pr 0.0000 0.0000 0.0000
2 Br 0.5805 0.5805 0.5805
3 Br 0.7529 0.7529 0.7529
4 F 0.3334 0.3334 0.3334

ΔE to the lowest computed polymorph   0.000 eV/atom
Total magnetization   0.00 μB per cell
SG   R3m
E   -5.147 eV/atom

***

Entry 2:
An optimized crystal structure of PrBrF. Source: the Alexandria database, functional PBE-GGA.

abc: 4.3893 4.3893 3.8605
angles: 90.00 90.00 120.00
Fractional positions:
1 Pr 0.0000 0.0000 0.0000
2 Br 0.6667 0.3333 0.5000
3 F 0.3333 0.6667 0.0000

Total magnetization   0.00 μB per cell
SG   P-6m2
E   -5.232 eV/atom

***

Entry 3:
An optimized crystal structure of Pr8Si3Br4F. Source: the Alexandria database, functional PBE-GGA.

abc: 8.8859 8.8859 8.8859
angles: 56.32 56.32 56.32
Fractional positions:
1 Pr 0.2360 0.7344 0.7344
2 Pr 0.2376 0.2376 0.2376
3 Pr 0.2656 0.2656 0.7640
4 Pr 0.2656 0.7640 0.2656
5 Pr 0.7344 0.2360 0.7344
6 Pr 0.7344 0.7344 0.2360
7 Pr 0.7624 0.7624 0.7624
8 Pr 0.7640 0.2656 0.2656
9 Si 0.0000 0.0000 0.5000
10 Si 0.0000 0.5000 0.0000
11 Si 0.5000 0.0000 0.0000
12 Br 0.0000 0.0000 0.0000
13 Br 0.0000 0.5000 0.5000
14 Br 0.5000 0.0000 0.5000
15 Br 0.5000 0.5000 0.0000
16 F 0.5000 0.5000 0.5000

Total magnetization   0.01 μB per cell
SG   R-3m
E   -5.162 eV/atom

***

Entry 4:
An optimized crystal structure of PtBrF4. Source: the Alexandria database, functional PBE-GGA.

abc: 8.7857 8.7857 4.4862
angles: 94.26 94.26 37.45
Fractional positions:
1 Pt 0.0570 0.0570 0.2948
2 Pt 0.9430 0.9430 0.7052
3 Br 0.3012 0.3012 0.7785
4 Br 0.6988 0.6988 0.2215
5 F 0.1309 0.6426 0.4610
6 F 0.2266 0.2266 0.0539
7 F 0.2349 0.7651 0.0000
8 F 0.3574 0.8691 0.5390
9 F 0.6426 0.1309 0.4610
10 F 0.7651 0.2349 0.0000
11 F 0.7734 0.7734 0.9461
12 F 0.8691 0.3574 0.5390

Total magnetization   1.19 μB per cell
SG   C2/m
E   -3.342 eV/atom